! LiSc2Al2Pt5 | Alexandria via LeMat-Bulk | GGA-PBE | optimized geometry; values from VASP
&SYSTEM
  ibrav = 0, nat = 20, ntyp = 4
/
ATOMIC_SPECIES
Li 6.94 Li.upf
Sc 44.96 Sc.upf
Al 26.98 Al.upf
Pt 195.08 Pt.upf
CELL_PARAMETERS angstrom
3.626 0.000 0.000
0.000 9.475 0.000
0.000 0.000 9.475
ATOMIC_POSITIONS crystal
Li 0.000 0.000 0.000
Li 0.000 0.500 0.500
Sc 0.000 0.673 0.173
Sc 0.000 0.327 0.827
Sc 0.000 0.173 0.327
Sc 0.000 0.827 0.673
Al 0.000 0.127 0.627
Al 0.000 0.873 0.373
Al 0.000 0.627 0.873
Al 0.000 0.373 0.127
Pt 0.500 0.201 0.069
Pt 0.500 0.799 0.931
Pt 0.500 0.069 0.799
Pt 0.500 0.701 0.431
Pt 0.500 0.931 0.201
Pt 0.500 0.299 0.569
Pt 0.500 0.569 0.701
Pt 0.500 0.431 0.299
Pt 0.500 0.500 0.000
Pt 0.500 0.000 0.500
! **Calculated formation energy**: -0.94 eV/atom
! **Total magnetic moment**: 0.000 μB/cell